SrCa7TiMn7O23 | GGA+U | relaxed

## Properties
- magnetic moment (Bohr magnetons per cell) = 23.0
- E_tot (eV/cell) = -276.4

Lattice parameters (Å, degrees): 7.654 7.654 7.677 89.89 89.89 89.92
Element x y z (fractional)
Ca 0.733 0.733 0.749
Ca 0.251 0.251 0.749
Ca 0.728 0.261 0.249
Ca 0.261 0.728 0.249
Ca 0.268 0.749 0.746
Ca 0.749 0.268 0.746
Ca 0.752 0.752 0.253
O 0.505 0.753 0.542
O 0.754 0.003 0.057
O 0.253 0.506 0.463
O 0.004 0.251 0.544
O 0.506 0.253 0.463
O 0.251 0.504 0.038
O 0.003 0.754 0.057
O 0.947 0.947 0.756
O 0.547 0.039 0.751
O 0.251 0.004 0.544
O 0.753 0.505 0.542
O 0.502 0.752 0.957
O 0.006 0.756 0.437
O 0.538 0.538 0.249
O 0.756 0.006 0.437
O 0.003 0.249 0.969
O 0.453 0.963 0.251
O 0.752 0.502 0.957
O 0.465 0.465 0.750
O 0.039 0.547 0.751
O 0.963 0.453 0.251
O 0.504 0.251 0.038
O 0.249 0.003 0.969
Mn 0.502 0.001 0.002
Mn 0.501 0.501 0.999
Mn 0.001 0.502 0.002
Mn 0.998 0.998 0.506
Mn 0.505 0.002 0.500
Mn 0.502 0.502 0.500
Mn 0.002 0.505 0.500
Ti 0.991 0.991 0.976
Sr 0.252 0.252 0.252